(1)
# Al2CuRh PBE-GGA relaxed
# **Total energy**: -5.198 eV per atom
# **V**: 55.9 Å³/f.u.
data_Al2CuRh
_cell_length_a 4.3899
_cell_length_b 4.3899
_cell_length_c 4.7723
_cell_angle_alpha 78.74
_cell_angle_beta 78.74
_cell_angle_gamma 38.42
_space_group_name_H-M_alt 'P 1'
_space_group_IT_number 1
loop_
_space_group_symop_operation_xyz
'x,y,z'
loop_
_atom_site_label
_atom_site_fract_x
_atom_site_fract_y
_atom_site_fract_z
_atom_site_occupancy
Cu1 0.2500 0.2500 0.2500 1
Al1 0.4970 0.4970 0.5042 1
Al2 0.0030 0.0030 0.9958 1
Rh1 0.7500 0.7500 0.7500 1

(2)
# Al6Cu5Rh PBE-GGA relaxed
# **Total energy**: -4.542 eV per atom
# **V**: 160.2 Å³/f.u.
data_Al6Cu5Rh
_cell_length_a 4.1438
_cell_length_b 6.1831
_cell_length_c 6.5876
_cell_angle_alpha 90.00
_cell_angle_beta 71.67
_cell_angle_gamma 90.00
_space_group_name_H-M_alt 'P 1'
_space_group_IT_number 1
loop_
_space_group_symop_operation_xyz
'x,y,z'
loop_
_atom_site_label
_atom_site_fract_x
_atom_site_fract_y
_atom_site_fract_z
_atom_site_occupancy
Rh1 0.0000 0.0000 0.0000 1
Cu1 0.3294 0.5000 0.3412 1
Al1 0.1673 0.7529 0.6653 1
Cu2 0.6645 0.0000 0.6711 1
Al2 0.8327 0.7529 0.3347 1
Al3 0.8327 0.2471 0.3347 1
Cu3 0.6706 0.5000 0.6588 1
Al4 0.5000 0.2541 0.0000 1
Al5 0.1673 0.2471 0.6653 1
Cu4 0.3355 0.0000 0.3289 1
Al6 0.5000 0.7459 0.0000 1
Cu5 0.0000 0.5000 0.0000 1

(3)
# Al2Cu2Rh PBE-GGA relaxed
# **Total energy**: -4.876 eV per atom
# **V**: 71.8 Å³/f.u.
data_Al2Cu2Rh
_cell_length_a 3.2582
_cell_length_b 3.2582
_cell_length_c 7.1461
_cell_angle_alpha 76.82
_cell_angle_beta 76.82
_cell_angle_gamma 90.00
_space_group_name_H-M_alt 'P 1'
_space_group_IT_number 1
loop_
_space_group_symop_operation_xyz
'x,y,z'
loop_
_atom_site_label
_atom_site_fract_x
_atom_site_fract_y
_atom_site_fract_z
_atom_site_occupancy
Al1 0.6002 0.6002 0.7997 1
Cu1 0.2500 0.7500 0.5000 1
Rh1 0.0000 0.0000 0.0000 1
Cu2 0.7500 0.2500 0.5000 1
Al2 0.3998 0.3998 0.2003 1

(4)
# AlCuRh2 PBE-GGA relaxed
# **Total energy**: -6.025 eV per atom
# **V**: 54.7 Å³/f.u.
data_AlCuRh2
_cell_length_a 2.7978
_cell_length_b 4.7118
_cell_length_c 5.2783
_cell_angle_alpha 51.86
_cell_angle_beta 90.00
_cell_angle_gamma 90.00
_space_group_name_H-M_alt 'P 1'
_space_group_IT_number 1
loop_
_space_group_symop_operation_xyz
'x,y,z'
loop_
_atom_site_label
_atom_site_fract_x
_atom_site_fract_y
_atom_site_fract_z
_atom_site_occupancy
Rh1 0.0000 0.0000 0.0000 1
Al1 0.5000 0.5000 0.5000 1
Cu1 0.0000 0.0000 0.5000 1
Rh2 0.5000 0.5000 0.0000 1

(5)
# Al4CuRh5 PBE-GGA relaxed
# **Total energy**: -6.476 eV per atom
# **V**: 135.1 Å³/f.u.
data_Al4CuRh5
_cell_length_a 3.0005
_cell_length_b 3.0005
_cell_length_c 15.0079
_cell_angle_alpha 90.00
_cell_angle_beta 90.00
_cell_angle_gamma 90.00
_space_group_name_H-M_alt 'P 1'
_space_group_IT_number 1
loop_
_space_group_symop_operation_xyz
'x,y,z'
loop_
_atom_site_label
_atom_site_fract_x
_atom_site_fract_y
_atom_site_fract_z
_atom_site_occupancy
Al1 0.0000 0.0000 0.1946 1
Cu1 0.0000 0.0000 0.0000 1
Rh1 0.5000 0.5000 0.6989 1
Rh2 0.5000 0.5000 0.8970 1
Al2 0.0000 0.0000 0.3985 1
Rh3 0.5000 0.5000 0.5000 1
Al3 0.0000 0.0000 0.6015 1
Rh4 0.5000 0.5000 0.3011 1
Rh5 0.5000 0.5000 0.1030 1
Al4 0.0000 0.0000 0.8054 1

(6)
# AlCuRh2 PBE-GGA relaxed
# **Total energy**: -5.990 eV per atom
# **V**: 55.5 Å³/f.u.
data_AlCuRh2
_cell_length_a 8.2702
_cell_length_b 8.2702
_cell_length_c 8.2702
_cell_angle_alpha 19.57
_cell_angle_beta 19.57
_cell_angle_gamma 19.57
_space_group_name_H-M_alt 'P 1'
_space_group_IT_number 1
loop_
_space_group_symop_operation_xyz
'x,y,z'
loop_
_atom_site_label
_atom_site_fract_x
_atom_site_fract_y
_atom_site_fract_z
_atom_site_occupancy
Rh1 0.9965 0.9965 0.9965 1
Al1 0.2500 0.2500 0.2500 1
Rh2 0.5035 0.5035 0.5035 1
Cu1 0.7500 0.7500 0.7500 1

(7)
# AlCuRh2 PBE-GGA relaxed
# **Total energy**: -5.944 eV per atom
# **V**: 55.2 Å³/f.u.
data_AlCuRh2
_cell_length_a 2.8931
_cell_length_b 4.5483
_cell_length_c 4.1954
_cell_angle_alpha 90.00
_cell_angle_beta 90.00
_cell_angle_gamma 90.00
_space_group_name_H-M_alt 'P 1'
_space_group_IT_number 1
loop_
_space_group_symop_operation_xyz
'x,y,z'
loop_
_atom_site_label
_atom_site_fract_x
_atom_site_fract_y
_atom_site_fract_z
_atom_site_occupancy
Al1 0.5000 0.0000 0.5000 1
Rh1 0.0000 0.0000 0.0000 1
Cu1 0.0000 0.5000 0.5000 1
Rh2 0.5000 0.5000 0.0000 1

(8)
# Al3CuRh PBE-GGA relaxed
# **Total energy**: -4.494 eV per atom
# **V**: 101.1 Å³/f.u.
data_Al3CuRh
_cell_length_a 4.6583
_cell_length_b 4.6583
_cell_length_c 4.6583
_cell_angle_alpha 90.00
_cell_angle_beta 90.00
_cell_angle_gamma 90.00
_space_group_name_H-M_alt 'P 1'
_space_group_IT_number 1
loop_
_space_group_symop_operation_xyz
'x,y,z'
loop_
_atom_site_label
_atom_site_fract_x
_atom_site_fract_y
_atom_site_fract_z
_atom_site_occupancy
Al1 0.0000 0.0000 0.5000 1
Cu1 0.5000 0.5000 0.5000 1
Al2 0.0000 0.5000 0.0000 1
Rh1 0.0000 0.0000 0.0000 1
Al3 0.5000 0.0000 0.0000 1

(9)
# AlCuRh2 PBE-GGA relaxed
# **Total energy**: -5.793 eV per atom
# **V**: 55.7 Å³/f.u.
data_AlCuRh2
_cell_length_a 8.5825
_cell_length_b 8.5825
_cell_length_c 8.5825
_cell_angle_alpha 18.52
_cell_angle_beta 18.52
_cell_angle_gamma 18.52
_space_group_name_H-M_alt 'P 1'
_space_group_IT_number 1
loop_
_space_group_symop_operation_xyz
'x,y,z'
loop_
_atom_site_label
_atom_site_fract_x
_atom_site_fract_y
_atom_site_fract_z
_atom_site_occupancy
Al1 0.5005 0.5005 0.5005 1
Cu1 0.7527 0.7527 0.7527 1
Rh1 0.2456 0.2456 0.2456 1
Rh2 0.0011 0.0011 0.0011 1

(10)
# Al4CuRh PBE-GGA relaxed
# **Total energy**: -4.402 eV per atom
# **V**: 90.1 Å³/f.u.
data_Al4CuRh
_cell_length_a 5.0328
_cell_length_b 5.0328
_cell_length_c 5.0328
_cell_angle_alpha 60.00
_cell_angle_beta 60.00
_cell_angle_gamma 60.00
_space_group_name_H-M_alt 'P 1'
_space_group_IT_number 1
loop_
_space_group_symop_operation_xyz
'x,y,z'
loop_
_atom_site_label
_atom_site_fract_x
_atom_site_fract_y
_atom_site_fract_z
_atom_site_occupancy
Al1 0.3746 0.3746 0.3746 1
Al2 0.3746 0.3746 0.8762 1
Rh1 0.0000 0.0000 0.0000 1
Cu1 0.7500 0.7500 0.7500 1
Al3 0.3746 0.8762 0.3746 1
Al4 0.8762 0.3746 0.3746 1

(11)
# Al4Cu2Rh PBE-GGA relaxed
# **Total energy**: -4.753 eV per atom
# **V**: 104.0 Å³/f.u.
data_Al4Cu2Rh
_cell_length_a 5.1358
_cell_length_b 5.1358
_cell_length_c 5.1358
_cell_angle_alpha 105.75
_cell_angle_beta 111.36
_cell_angle_gamma 111.36
_space_group_name_H-M_alt 'P 1'
_space_group_IT_number 1
loop_
_space_group_symop_operation_xyz
'x,y,z'
loop_
_atom_site_label
_atom_site_fract_x
_atom_site_fract_y
_atom_site_fract_z
_atom_site_occupancy
Cu1 0.5000 0.0000 0.5000 1
Cu2 0.5000 0.5000 0.0000 1
Al1 0.0000 0.5000 0.0000 1
Al2 0.0000 0.0000 0.5000 1
Al3 0.5000 0.0000 0.0000 1
Al4 0.5000 0.5000 0.5000 1
Rh1 0.0000 0.0000 0.0000 1

(12)
# Al2CuRh PBE-GGA relaxed
# **Total energy**: -5.163 eV per atom
# **V**: 56.6 Å³/f.u.
data_Al2CuRh
_cell_length_a 2.8547
_cell_length_b 2.8547
_cell_length_c 8.1868
_cell_angle_alpha 79.96
_cell_angle_beta 79.96
_cell_angle_gamma 60.00
_space_group_name_H-M_alt 'P 1'
_space_group_IT_number 1
loop_
_space_group_symop_operation_xyz
'x,y,z'
loop_
_atom_site_label
_atom_site_fract_x
_atom_site_fract_y
_atom_site_fract_z
_atom_site_occupancy
Rh1 0.6660 0.6660 0.0020 1
Cu1 0.5006 0.5006 0.4982 1
Al1 0.2508 0.2508 0.2474 1
Al2 0.0825 0.0825 0.7524 1

(13)
# Al2CuRh PBE-GGA relaxed
# **Total energy**: -5.085 eV per atom
# **V**: 55.5 Å³/f.u.
data_Al2CuRh
_cell_length_a 4.2823
_cell_length_b 4.2823
_cell_length_c 4.2823
_cell_angle_alpha 60.00
_cell_angle_beta 60.00
_cell_angle_gamma 60.00
_space_group_name_H-M_alt 'P 1'
_space_group_IT_number 1
loop_
_space_group_symop_operation_xyz
'x,y,z'
loop_
_atom_site_label
_atom_site_fract_x
_atom_site_fract_y
_atom_site_fract_z
_atom_site_occupancy
Cu1 0.5000 0.5000 0.5000 1
Al1 0.2500 0.2500 0.2500 1
Rh1 0.7500 0.7500 0.7500 1
Al2 0.0000 0.0000 0.0000 1

(14)
# AlCu4Rh PBE-GGA relaxed
# **Total energy**: -4.669 eV per atom
# **V**: 77.1 Å³/f.u.
data_AlCu4Rh
_cell_length_a 4.7779
_cell_length_b 4.7779
_cell_length_c 4.7779
_cell_angle_alpha 60.00
_cell_angle_beta 60.00
_cell_angle_gamma 60.00
_space_group_name_H-M_alt 'P 1'
_space_group_IT_number 1
loop_
_space_group_symop_operation_xyz
'x,y,z'
loop_
_atom_site_label
_atom_site_fract_x
_atom_site_fract_y
_atom_site_fract_z
_atom_site_occupancy
Cu1 0.1250 0.6250 0.6250 1
Cu2 0.6250 0.1250 0.6250 1
Rh1 0.2500 0.2500 0.2500 1
Al1 0.0000 0.0000 0.0000 1
Cu3 0.6250 0.6250 0.6250 1
Cu4 0.6250 0.6250 0.1250 1